1.
PrGdRu2: relaxed, GGA-PBE.

a = 3.482 Å, b = 3.482 Å, c = 6.973 Å
α = 90.00°, β = 90.00°, γ = 90.00°
Last column: magnetic moment on the atom in μB.
Element x y z (fractional)
Ru (0.000, 0.000, 0.242)  -0.11
Pr (0.500, 0.500, 0.500)  0.02
Gd (0.500, 0.500, 0.000)  7.01
Ru (0.000, 0.000, 0.758)  -0.11

- calculated density (kg/m³) = 9828
- raw total energy (Ha/atom) = -0.3481
- space group = P4/mmm (123)
- energy relative to the elements (eV/atom) = -0.12

=====

2.
La4Bi3Te: relaxed, GGA-PBE.

a = 6.613 Å, b = 6.613 Å, c = 8.098 Å
α = 114.10°, β = 114.10°, γ = 90.00°
Element x y z (fractional)
Bi (0.250, 0.750, 0.500)
La (0.251, 0.251, 0.501)
La (0.000, 0.500, 0.000)
La (0.500, 0.000, 0.000)
Bi (0.750, 0.250, 0.500)
Bi (0.500, 0.500, 0.000)
Te (0.000, 0.000, 0.000)
La (0.749, 0.749, 0.499)

- calculated density (kg/m³) = 7525
- raw total energy (Ha/atom) = -0.2030
- raw formation energy (meV/atom) = -1211.5
- space group = I4/mmm (139)

=====

3.
La2Sm12Tl: relaxed, GGA-PBE.

a = 6.730 Å, b = 6.730 Å, c = 23.652 Å
α = 90.00°, β = 90.00°, γ = 90.00°
Element x y z (fractional)
Sm (0.500, 0.500, 0.801)
Sm (0.334, 0.834, 0.435)
Sm (0.500, 0.500, 0.330)
La (0.500, 0.000, 0.247)
Sm (0.834, 0.334, 0.565)
Sm (0.254, 0.754, 0.908)
Sm (0.000, 0.000, 0.801)
La (0.500, 0.000, 0.753)
Tl (0.500, 0.000, 0.000)
Sm (0.746, 0.246, 0.908)
Sm (0.500, 0.500, 0.670)
Sm (0.254, 0.246, 0.092)
Sm (0.334, 0.166, 0.565)
Sm (0.166, 0.666, 0.565)
Sm (0.246, 0.254, 0.908)
Sm (0.000, 0.000, 0.199)
Sm (0.746, 0.754, 0.092)
Sm (0.000, 0.000, 0.670)
Tl (0.000, 0.500, 0.000)
Sm (0.666, 0.834, 0.565)
Sm (0.754, 0.254, 0.092)
Sm (0.000, 0.000, 0.330)
La (0.000, 0.500, 0.247)
Sm (0.166, 0.334, 0.435)
La (0.000, 0.500, 0.753)
Sm (0.834, 0.666, 0.435)
Sm (0.246, 0.746, 0.092)
Sm (0.754, 0.746, 0.908)
Sm (0.666, 0.166, 0.435)
Sm (0.500, 0.500, 0.199)

- calculated density (kg/m³) = 7088
- raw total energy (Ha/atom) = -0.1607
- space group = P4/nbm (125)
- energy relative to the elements (eV/atom) = 0.22